Entry 1:
Material: Cu2AsPb
Method: DFT, PBE
State: optimized geometry

abc: 5.756 5.756 5.756
angles: 149.14 129.11 60.71
Atoms (fractional coordinates):
Cu 0.000 0.000 0.000
Cu 0.789 0.289 0.500
As 0.210 0.710 0.500
Pb 0.500 0.500 0.000

Calculated values
uncorrected energy	-3.83	eV/atom
spin magnetization	0.0	μB per cell

=====

Entry 2:
Material: CuAsPb3
Method: DFT, PBE
State: optimized geometry

abc: 5.614 5.614 5.614
angles: 90.00 90.00 90.00
Atoms (fractional coordinates):
Cu 0.000 0.000 0.000
As 0.500 0.500 0.500
Pb 0.000 0.500 0.500
Pb 0.500 0.000 0.500
Pb 0.500 0.500 0.000

Calculated values
uncorrected energy	-3.24	eV/atom
offset from the most stable computed form	37.7	kJ per mole of atoms
spin magnetization	0.0	μB per cell

=====

Entry 3:
Material: CuAs2Pb
Method: DFT, PBE
State: optimized geometry

abc: 5.112 5.112 5.112
angles: 126.68 126.68 78.78
Atoms (fractional coordinates):
Cu 0.000 0.000 0.000
As 0.500 0.500 0.000
As 0.750 0.250 0.500
Pb 0.250 0.750 0.500

Calculated values
uncorrected energy	-3.87	eV/atom
spin magnetization	0.0	μB per cell